A plane-wave DFT calculation with PBE-GGA was carried out for crystalline Pm8ScBi6 at its relaxed geometry.

a = 7.7985 Å, b = 7.7985 Å, c = 29.9091 Å
α = 90.00°, β = 90.00°, γ = 120.00°
Space group R-3 (No. 148, hexagonal axes)
Inequivalent atoms, fractional coordinates:
1 Pm 0.0000 0.0000 0.1669 [6 per cell]
2 Pm 0.0026 0.3456 0.3805 [18 per cell]
3 Sc 0.0000 0.0000 0.5000 [3 per cell]
4 Bi 0.0016 0.3207 0.5600 [18 per cell]

Energy in eV/atom: -5.059
ρ in g/cm3: 7.8
Fermi-level density of states in states/eV/atom: 0.66

***

A plane-wave DFT calculation with PBE-GGA was carried out for crystalline LiNi4P at its relaxed geometry.

a = 6.6081 Å, b = 6.6081 Å, c = 6.6081 Å
α = 90.00°, β = 90.00°, γ = 90.00°
Space group F-43m (No. 216)
Inequivalent atoms, fractional coordinates:
1 Li 0.0000 0.0000 0.0000 [4 per cell]
2 Ni 0.1247 0.1247 0.6247 [16 per cell]
3 P 0.2500 0.2500 0.2500 [4 per cell]

Energy in eV/atom: -4.995
ρ in g/cm3: 6.3
Fermi-level density of states in states/eV/atom: 1.26